The following is a PBE+U calculation of a geometry-optimized Fe6Pb4F19 structure, from Alexandria.

a = 8.321 Å, b = 8.321 Å, c = 8.321 Å
α = 109.47°, β = 109.47°, γ = 109.47°
Last column: magnetic moment on the atom in μB.
Fractional coordinates of all 29 atoms:
Fe (0.339, 0.500, 0.839)  3.80
Fe (0.661, 0.500, 0.161)  3.80
Fe (0.161, 0.661, 0.500)  3.80
Fe (0.839, 0.339, 0.500)  3.80
Fe (0.500, 0.839, 0.339)  3.80
Fe (0.500, 0.161, 0.661)  3.80
Pb (0.000, 0.000, 0.689)  -0.07
Pb (0.000, 0.689, 0.000)  -0.07
Pb (0.311, 0.311, 0.311)  -0.07
Pb (0.689, 0.000, 0.000)  -0.07
F (0.656, 0.000, 0.656)  0.03
F (0.344, 0.000, 0.344)  0.03
F (0.344, 0.344, 0.000)  0.03
F (0.656, 0.656, 0.000)  0.03
F (0.000, 0.656, 0.656)  0.03
F (0.000, 0.344, 0.344)  0.03
F (0.000, 0.000, 0.000)  0.00
F (0.310, 0.279, 0.612)  0.04
F (0.690, 0.302, 0.968)  0.04
F (0.667, 0.698, 0.388)  0.04
F (0.968, 0.690, 0.302)  0.04
F (0.333, 0.721, 0.032)  0.04
F (0.612, 0.310, 0.279)  0.04
F (0.032, 0.333, 0.721)  0.04
F (0.388, 0.667, 0.698)  0.04
F (0.721, 0.032, 0.333)  0.04
F (0.302, 0.968, 0.690)  0.04
F (0.279, 0.612, 0.310)  0.04
F (0.698, 0.388, 0.667)  0.04

Calculated values
**Space-group type**: I23, No. 197
**E**: -5.2164 eV per atom